Record 1
Computed, not measured: a relaxed structure of CsMgFeSe3 at the GGA-PBE level of DFT.

Cell lengths 8.791, 3.811, 10.922 Å; angles 90.00, 111.87, 90.00 degrees
Fractional coordinates of all 12 atoms:
Cs 0.013 0.250 0.265
Cs 0.987 0.750 0.735
Mg 0.492 0.750 0.378
Mg 0.508 0.250 0.622
Fe 0.447 0.250 0.095
Fe 0.553 0.750 0.905
Se 0.282 0.750 0.129
Se 0.308 0.750 0.522
Se 0.363 0.250 0.861
Se 0.637 0.750 0.139
Se 0.692 0.250 0.478
Se 0.718 0.250 0.871

Summary:
Electronic total energy in eV/f.u.: -25.7
Total moment in μB/f.u.: 2.396

Record 2
Computed, not measured: a relaxed structure of PrTh at the GGA-PBE level of DFT.

Cell lengths 3.606, 3.606, 6.053 Å; angles 90.00, 90.00, 120.00 degrees
Fractional coordinates of all 2 atoms:
Pr 0.000 0.000 0.000
Th 0.667 0.333 0.500

Summary:
Total moment in μB/f.u.: 0.018
Energy relative to the lowest polymorph listed for this composition in kJ/mol of atoms: 0.0
E_form in meV/atom: 83

Record 3
Computed, not measured: a relaxed structure of PmFeRe at the GGA-PBE level of DFT.

Cell lengths 4.381, 4.381, 4.381 Å; angles 60.00, 60.00, 60.00 degrees
Fractional coordinates of all 3 atoms:
Pm 0.000 0.000 0.000
Fe 0.250 0.250 0.250
Re 0.500 0.500 0.500

Summary:
Total moment in μB/f.u.: 1.378
E_form in meV/atom: 799

Record 4
Computed, not measured: a relaxed structure of LiCuSnTe3 at the GGA-PBE level of DFT.

Cell lengths 6.906, 6.906, 11.753 Å; angles 90.00, 90.00, 146.16 degrees
Fractional coordinates of all 12 atoms:
Li 0.226 0.774 0.750
Li 0.774 0.226 0.250
Cu 0.465 0.535 0.250
Cu 0.535 0.465 0.750
Sn 0.000 0.000 0.000
Sn 0.000 0.000 0.500
Te 0.091 0.909 0.250
Te 0.344 0.656 0.074
Te 0.344 0.656 0.426
Te 0.656 0.344 0.574
Te 0.656 0.344 0.926
Te 0.909 0.091 0.750

Summary:
Energy relative to the lowest polymorph listed for this composition in kJ/mol of atoms: 4.2

Record 5
Computed, not measured: a relaxed structure of Ba2TcHgS6 at the GGA-PBE level of DFT.

Cell lengths 6.421, 6.569, 7.353 Å; angles 84.38, 64.31, 63.14 degrees
Fractional coordinates of all 10 atoms:
Ba 0.022 0.223 0.237
Ba 0.978 0.777 0.763
Tc 0.500 0.000 0.500
Hg 0.500 0.500 0.000
S 0.042 0.251 0.648
S 0.402 0.858 0.846
S 0.473 0.716 0.361
S 0.527 0.284 0.639
S 0.598 0.142 0.154
S 0.958 0.749 0.352

Summary:
Electronic total energy in eV/f.u.: -47.1
Total moment in μB/f.u.: 1.274

Record 6
Computed, not measured: a relaxed structure of YTaCoBi at the GGA-PBE level of DFT.

Cell lengths 4.856, 4.856, 4.856 Å; angles 60.00, 60.00, 60.00 degrees
Fractional coordinates of all 4 atoms:
Y 0.000 0.000 0.000
Ta 0.250 0.250 0.250
Co 0.750 0.750 0.750
Bi 0.500 0.500 0.500

Summary:
Total moment in μB/f.u.: 2.643
Energy relative to the lowest polymorph listed for this composition in kJ/mol of atoms: 0.0

Record 7
Computed, not measured: a relaxed structure of CoSe2 at the GGA-PBE level of DFT.

Cell lengths 4.187, 4.187, 4.187 Å; angles 60.00, 60.00, 60.00 degrees
Fractional coordinates of all 3 atoms:
Co 0.000 0.000 0.000
Se 0.250 0.250 0.250
Se 0.750 0.750 0.750

Summary:
Electronic total energy in eV/f.u.: -14.1
Total moment in μB/f.u.: 0.004

Record 8
Computed, not measured: a relaxed structure of AcNdNO at the GGA-PBE level of DFT.

Cell lengths 4.417, 4.417, 9.004 Å; angles 90.00, 90.00, 90.00 degrees
Fractional coordinates of all 8 atoms:
Ac 0.250 0.250 0.128
Ac 0.750 0.750 0.872
Nd 0.250 0.750 0.500
Nd 0.750 0.250 0.500
N 0.250 0.250 0.624
N 0.750 0.750 0.376
O 0.250 0.750 0.000
O 0.750 0.250 0.000

Summary:
Total moment in μB/f.u.: 0.820
Energy relative to the lowest polymorph listed for this composition in kJ/mol of atoms: 32.0

Record 9
Computed, not measured: a relaxed structure of TmHfPO at the GGA-PBE level of DFT.

Cell lengths 4.043, 4.043, 7.933 Å; angles 90.00, 90.00, 90.00 degrees
Fractional coordinates of all 8 atoms:
Tm 0.250 0.750 0.000
Tm 0.750 0.250 0.000
Hf 0.250 0.250 0.382
Hf 0.750 0.750 0.618
P 0.250 0.250 0.770
P 0.750 0.750 0.230
O 0.250 0.750 0.500
O 0.750 0.250 0.500

Summary:
Total moment in μB/f.u.: 0.111
Energy relative to the lowest polymorph listed for this composition in kJ/mol of atoms: 45.3

Record 10
Computed, not measured: a relaxed structure of La2TmIn3AgPt2 at the GGA-PBE level of DFT.

Cell lengths 3.980, 7.877, 7.877 Å; angles 119.78, 90.00, 90.00 degrees
Fractional coordinates of all 9 atoms:
La 0.000 0.207 0.793
La 0.000 0.793 0.207
Tm 0.000 0.622 0.622
In 0.500 0.214 0.469
In 0.500 0.469 0.214
In 0.500 0.943 0.943
Ag 0.000 0.211 0.211
Pt 0.500 0.544 0.865
Pt 0.500 0.865 0.544

Summary:
Electronic total energy in eV/f.u.: -44.8
Total moment in μB/f.u.: 0.004

Record 11
Computed, not measured: a relaxed structure of HoErTlTe3 at the GGA-PBE level of DFT.

Cell lengths 7.964, 7.964, 11.944 Å; angles 90.00, 90.00, 147.94 degrees
Fractional coordinates of all 12 atoms:
Ho 0.000 0.000 0.000
Ho 0.000 0.000 0.500
Er 0.435 0.565 0.750
Er 0.565 0.435 0.250
Tl 0.249 0.751 0.250
Tl 0.751 0.249 0.750
Te 0.065 0.935 0.750
Te 0.358 0.642 0.528
Te 0.358 0.642 0.972
Te 0.642 0.358 0.028
Te 0.642 0.358 0.472
Te 0.935 0.065 0.250

Summary:
Total moment in μB/f.u.: 0.243
Energy relative to the lowest polymorph listed for this composition in kJ/mol of atoms: 0.0

Record 12
Computed, not measured: a relaxed structure of ScTaTc at the GGA-PBE level of DFT.

Cell lengths 4.412, 4.412, 4.412 Å; angles 60.00, 60.00, 60.00 degrees
Fractional coordinates of all 3 atoms:
Sc 0.000 0.000 0.000
Ta 0.500 0.500 0.500
Tc 0.250 0.250 0.250

Summary:
Total moment in μB/f.u.: 0.013
Energy relative to the lowest polymorph listed for this composition in kJ/mol of atoms: 0.0
E_form in meV/atom: 194

Record 13
Computed, not measured: a relaxed structure of Pm5GeSe5 at the GGA-PBE level of DFT.

Cell lengths 7.308, 7.308, 8.417 Å; angles 106.75, 106.75, 47.93 degrees
Fractional coordinates of all 11 atoms:
Pm 0.000 0.000 0.000
Pm 0.337 0.337 0.668
Pm 0.340 0.340 0.172
Pm 0.660 0.660 0.828
Pm 0.663 0.663 0.332
Ge 0.500 0.500 0.000
Se 0.169 0.169 0.334
Se 0.170 0.170 0.838
Se 0.500 0.500 0.500
Se 0.830 0.830 0.162
Se 0.831 0.831 0.666

Summary:
Electronic total energy in eV/f.u.: -64.9
Total moment in μB/f.u.: 0.010

Record 14
Computed, not measured: a relaxed structure of GePd2O6 at the GGA-PBE level of DFT.

Cell lengths 5.117, 4.452, 9.782 Å; angles 90.00, 121.38, 90.00 degrees
Fractional coordinates of all 18 atoms:
Ge 0.000 0.000 0.000
Ge 0.000 0.500 0.500
Pd 0.321 0.002 0.821
Pd 0.321 0.498 0.321
Pd 0.679 0.502 0.679
Pd 0.679 0.998 0.179
O 0.018 0.745 0.346
O 0.018 0.755 0.846
O 0.321 0.225 0.001
O 0.321 0.275 0.501
O 0.325 0.748 0.151
O 0.325 0.752 0.651
O 0.675 0.248 0.349
O 0.675 0.252 0.849
O 0.679 0.725 0.499
O 0.679 0.775 0.999
O 0.982 0.245 0.154
O 0.982 0.255 0.654

Summary:
Energy relative to the lowest polymorph listed for this composition in kJ/mol of atoms: 0.0

Record 15
Computed, not measured: a relaxed structure of InSiAgTe3 at the GGA-PBE level of DFT.

Cell lengths 7.416, 7.416, 11.590 Å; angles 90.00, 90.00, 150.02 degrees
Fractional coordinates of all 12 atoms:
In 0.204 0.796 0.750
In 0.796 0.204 0.250
Si 0.500 0.500 0.000
Si 0.500 0.500 0.500
Ag 0.138 0.862 0.250
Ag 0.862 0.138 0.750
Te 0.138 0.862 0.013
Te 0.138 0.862 0.487
Te 0.476 0.524 0.250
Te 0.524 0.476 0.750
Te 0.862 0.138 0.513
Te 0.862 0.138 0.987

Summary:
Electronic total energy in eV/f.u.: -20.5

Record 16
Computed, not measured: a relaxed structure of AgBi2Pd2 at the GGA-PBE level of DFT.

Cell lengths 6.522, 6.522, 6.522 Å; angles 138.20, 138.20, 60.59 degrees
Fractional coordinates of all 5 atoms:
Ag 0.000 0.000 0.000
Bi 0.250 0.750 0.500
Bi 0.750 0.250 0.500
Pd 0.387 0.387 0.000
Pd 0.613 0.613 0.000

Summary:
Electronic total energy in eV/f.u.: -20.5

Record 17
Computed, not measured: a relaxed structure of LaGa2CuPt at the GGA-PBE level of DFT.

Cell lengths 4.373, 4.373, 10.094 Å; angles 90.00, 90.00, 90.00 degrees
Fractional coordinates of all 10 atoms:
La 0.250 0.250 0.247
La 0.750 0.750 0.753
Ga 0.250 0.250 0.883
Ga 0.250 0.750 0.500
Ga 0.750 0.250 0.500
Ga 0.750 0.750 0.117
Cu 0.250 0.750 0.000
Cu 0.750 0.250 0.000
Pt 0.250 0.250 0.634
Pt 0.750 0.750 0.366

Summary:
Total moment in μB/f.u.: 0.005
Energy relative to the lowest polymorph listed for this composition in kJ/mol of atoms: 0.0

Record 18
Computed, not measured: a relaxed structure of HfAl2Sn2 at the GGA-PBE level of DFT.

Cell lengths 8.002, 8.002, 8.002 Å; angles 152.27, 152.27, 39.61 degrees
Fractional coordinates of all 5 atoms:
Hf 0.000 0.000 0.000
Al 0.250 0.750 0.500
Al 0.750 0.250 0.500
Sn 0.400 0.400 0.000
Sn 0.600 0.600 0.000

Summary:
Electronic total energy in eV/f.u.: -24.6
Total moment in μB/f.u.: 0.047

Record 19
Computed, not measured: a relaxed structure of HfScGaNi at the GGA-PBE level of DFT.

Cell lengths 4.579, 4.579, 4.579 Å; angles 60.00, 60.00, 60.00 degrees
Fractional coordinates of all 4 atoms:
Hf 0.000 0.000 0.000
Sc 0.250 0.250 0.250
Ga 0.500 0.500 0.500
Ni 0.750 0.750 0.750

Summary:
Total moment in μB/f.u.: 1.865
Energy relative to the lowest polymorph listed for this composition in kJ/mol of atoms: 0.0

Record 20
Computed, not measured: a relaxed structure of NaNbFeGe at the GGA-PBE level of DFT.

Cell lengths 4.335, 4.335, 4.335 Å; angles 60.00, 60.00, 60.00 degrees
Fractional coordinates of all 4 atoms:
Na 0.000 0.000 0.000
Nb 0.250 0.250 0.250
Fe 0.500 0.500 0.500
Ge 0.750 0.750 0.750

Summary:
Total moment in μB/f.u.: 0.000
Energy relative to the lowest polymorph listed for this composition in kJ/mol of atoms: 0.0

Record 21
Computed, not measured: a relaxed structure of Rb2NbAgBr6 at the GGA-PBE level of DFT.

Cell lengths 7.757, 7.757, 7.757 Å; angles 60.00, 60.00, 60.00 degrees
Fractional coordinates of all 10 atoms:
Rb 0.250 0.250 0.250
Rb 0.750 0.750 0.750
Nb 0.000 0.000 0.000
Ag 0.500 0.500 0.500
Br 0.242 0.242 0.758
Br 0.242 0.758 0.242
Br 0.242 0.758 0.758
Br 0.758 0.242 0.242
Br 0.758 0.242 0.758
Br 0.758 0.758 0.242

Summary:
Electronic total energy in eV/f.u.: -35.4
Total moment in μB/f.u.: 2.002

Record 22
Computed, not measured: a relaxed structure of NaLiTePt at the GGA-PBE level of DFT.

Cell lengths 4.745, 4.745, 4.745 Å; angles 60.00, 60.00, 60.00 degrees
Fractional coordinates of all 4 atoms:
Na 0.000 0.000 0.000
Li 0.500 0.500 0.500
Te 0.250 0.250 0.250
Pt 0.750 0.750 0.750

Summary:
Total moment in μB/f.u.: 0.001
Energy relative to the lowest polymorph listed for this composition in kJ/mol of atoms: 17.7

Record 23
Computed, not measured: a relaxed structure of MgCdSeO at the GGA-PBE level of DFT.

Cell lengths 4.087, 4.087, 9.916 Å; angles 90.00, 90.00, 90.00 degrees
Fractional coordinates of all 8 atoms:
Mg 0.250 0.250 0.127
Mg 0.750 0.750 0.873
Cd 0.250 0.250 0.580
Cd 0.750 0.750 0.420
Se 0.250 0.250 0.862
Se 0.750 0.750 0.138
O 0.250 0.750 0.500
O 0.750 0.250 0.500

Summary:
Energy relative to the lowest polymorph listed for this composition in kJ/mol of atoms: 59.6

Record 24
Computed, not measured: a relaxed structure of TmLu2N3 at the GGA-PBE level of DFT.

Cell lengths 3.361, 3.361, 8.233 Å; angles 90.00, 90.00, 120.00 degrees
Fractional coordinates of all 6 atoms:
Tm 0.000 0.000 0.000
Lu 0.333 0.667 0.334
Lu 0.667 0.333 0.666
N 0.000 0.000 0.500
N 0.333 0.667 0.831
N 0.667 0.333 0.169

Summary:
Electronic total energy in eV/f.u.: -49.7
Total moment in μB/f.u.: 0.003